No. 1
## InSi2Pt7 (PBE-GGA)

Data for a relaxed InSi2Pt7 crystal.

Cell and atoms, written as POSCAR:
```
InSi2Pt7
1.0
3.947 0.000 -0.759
-0.146 3.944 -0.759
-0.051 -0.052 10.372
In Si Pt
1 2 7
direct
0.000 0.000 0.000
0.675 0.675 0.351
0.325 0.325 0.649
0.106 0.606 0.212
0.394 0.894 0.788
0.606 0.106 0.212
0.500 0.500 0.000
0.750 0.250 0.500
0.894 0.394 0.788
0.250 0.750 0.500
```

Crystal system: tetragonal
Density of states at the Fermi level: 2.38 states/eV per cell
Formation energy from raw total energies: -0.617 eV per atom
Calculated volume: 161.1 Å³/cell

***

No. 2
## InSiPt2 (PBE-GGA)

Data for a relaxed InSiPt2 crystal.

Cell and atoms, written as POSCAR:
```
InSiPt2
1.0
-1.199 1.989 5.499
-3.506 -4.737 0.949
1.769 -4.051 5.090
Si Pt In
2 4 2
direct
0.500 0.500 0.000
0.250 0.750 0.500
0.573 0.125 0.250
0.177 0.625 0.250
0.375 0.427 0.750
0.875 0.823 0.750
0.000 0.000 0.000
0.750 0.250 0.500
```

Crystal system: tetragonal
Density of states at the Fermi level: 2.19 states/eV per cell
Formation energy from raw total energies: -0.245 eV per atom
Calculated volume: 187.3 Å³/cell

***

No. 3
## InSiPt2 (PBE-GGA)

Data for a relaxed InSiPt2 crystal.

Cell and atoms, written as POSCAR:
```
InSiPt2
1.0
4.563 0.098 -0.021
-0.059 4.564 -0.021
0.014 0.014 3.181
In Pt Si
1 2 1
direct
0.000 0.500 0.500
0.000 0.000 0.000
0.500 0.500 0.000
0.500 0.000 0.500
```

Crystal system: orthorhombic
Density of states at the Fermi level: 1.14 states/eV per cell
Formation energy from raw total energies: -0.208 eV per atom
Calculated volume: 66.3 Å³/cell

***

No. 4
## InSiPt2 (PBE-GGA)

Data for a relaxed InSiPt2 crystal.

Cell and atoms, written as POSCAR:
```
InSiPt2
1.0
2.951 1.948 2.852
-1.508 2.640 3.375
0.283 -1.431 4.302
Si Pt In
1 2 1
direct
0.000 0.000 0.000
0.250 0.250 0.250
0.750 0.750 0.750
0.500 0.500 0.500
```

Crystal system: cubic
Density of states at the Fermi level: 1.35 states/eV per cell
Formation energy from raw total energies: -0.226 eV per atom
Calculated volume: 66.3 Å³/cell

***

No. 5
## InSiPt2 (PBE-GGA)

Data for a relaxed InSiPt2 crystal.

Cell and atoms, written as POSCAR:
```
InSiPt2
1.0
-4.458 2.665 -4.647
-6.656 1.986 -0.566
5.978 -0.235 3.574
In Pt Si
1 2 1
direct
0.299 0.799 0.500
0.981 0.981 0.000
0.675 0.175 0.500
0.545 0.545 0.000
```

Crystal system: orthorhombic
Density of states at the Fermi level: 1.50 states/eV per cell
Formation energy from raw total energies: -0.462 eV per atom
Calculated volume: 71.2 Å³/cell

***

No. 6
## InSi3Pt (PBE-GGA)

Data for a relaxed InSi3Pt crystal.

Cell and atoms, written as POSCAR:
```
InSi3Pt
1.0
-0.599 4.249 2.123
-3.179 -1.949 3.003
3.530 -1.034 3.066
Si Pt In
3 1 1
direct
0.000 0.500 0.000
0.000 0.000 0.500
0.500 0.000 0.000
0.000 0.000 0.000
0.500 0.500 0.500
```

Crystal system: cubic
Density of states at the Fermi level: 4.95 states/eV per cell
Formation energy from raw total energies: 0.452 eV per atom
Calculated volume: 109.8 Å³/cell

***

No. 7
## InSiPt2 (PBE-GGA)

Data for a relaxed InSiPt2 crystal.

Cell and atoms, written as POSCAR:
```
InSiPt2
1.0
4.589 0.000 0.000
2.294 3.974 0.000
2.294 1.325 3.747
In Pt Si
1 2 1
direct
0.500 0.500 0.500
0.000 0.000 0.000
0.750 0.750 0.750
0.250 0.250 0.250
```

Crystal system: cubic
Density of states at the Fermi level: 1.83 states/eV per cell
Formation energy from raw total energies: 0.002 eV per atom
Calculated volume: 68.3 Å³/cell

***

No. 8
## InSiPt2 (PBE-GGA)

Data for a relaxed InSiPt2 crystal.

Cell and atoms, written as POSCAR:
```
InSiPt2
1.0
4.755 0.001 -0.004
0.449 4.734 0.004
-2.024 -3.002 3.082
In Pt Si
1 2 1
direct
0.250 0.750 0.500
0.957 0.957 0.000
0.543 0.543 0.000
0.750 0.250 0.500
```

Crystal system: orthorhombic
Density of states at the Fermi level: 1.26 states/eV per cell
Formation energy from raw total energies: -0.293 eV per atom
Calculated volume: 69.4 Å³/cell

***

No. 9
## InSiPt2 (PBE-GGA)

Data for a relaxed InSiPt2 crystal.

Cell and atoms, written as POSCAR:
```
InSiPt2
1.0
-2.436 1.737 0.391
-1.609 -2.495 1.058
-0.170 -2.093 8.238
In Pt Si
1 2 1
direct
0.500 0.750 0.750
0.000 0.045 0.059
0.000 0.455 0.441
0.500 0.250 0.250
```

Crystal system: monoclinic
Density of states at the Fermi level: 1.14 states/eV per cell
Formation energy from raw total energies: -0.386 eV per atom
Calculated volume: 68.5 Å³/cell

***

No. 10
## InSiPt2 (PBE-GGA)

Data for a relaxed InSiPt2 crystal.

Cell and atoms, written as POSCAR:
```
InSiPt2
1.0
-0.682 -0.258 -3.441
-1.298 -3.231 0.499
-5.008 2.140 0.832
In Pt Si
1 2 1
direct
0.500 0.500 0.782
0.000 0.000 0.986
0.500 0.500 0.301
0.000 0.000 0.432
```

Crystal system: tetragonal
Density of states at the Fermi level: 0.68 states/eV per cell
Formation energy from raw total energies: -0.413 eV per atom
Calculated volume: 68.2 Å³/cell

***

No. 11
## InSiPt2 (PBE-GGA)

Data for a relaxed InSiPt2 crystal.

Cell and atoms, written as POSCAR:
```
InSiPt2
1.0
3.825 -0.020 0.017
1.918 3.310 0.017
1.885 1.080 5.788
In Pt Si
1 2 1
direct
0.250 0.250 0.250
0.025 0.025 0.928
0.475 0.475 0.572
0.750 0.750 0.750
```

Crystal system: monoclinic
Density of states at the Fermi level: 1.42 states/eV per cell
Formation energy from raw total energies: -0.446 eV per atom
Calculated volume: 73.4 Å³/cell

***

No. 12
## InSiPt2 (PBE-GGA)

Data for a relaxed InSiPt2 crystal.

Cell and atoms, written as POSCAR:
```
InSiPt2
1.0
-1.237 -2.161 -6.211
1.937 -5.867 1.655
-6.075 -1.515 1.737
In Si Pt
4 4 8
direct
0.750 0.639 0.010
0.250 0.139 0.490
0.250 0.361 0.990
0.750 0.861 0.510
0.750 0.371 0.620
0.250 0.871 0.880
0.250 0.629 0.380
0.750 0.129 0.120
0.961 0.103 0.804
0.039 0.603 0.696
0.461 0.897 0.196
0.539 0.397 0.304
0.039 0.897 0.196
0.961 0.397 0.304
0.539 0.103 0.804
0.461 0.603 0.696
```

Crystal system: orthorhombic
Density of states at the Fermi level: 4.01 states/eV per cell
Formation energy from raw total energies: -0.527 eV per atom
Calculated volume: 278.1 Å³/cell

***

No. 13
## InSiPt3 (PBE-GGA)

Data for a relaxed InSiPt3 crystal.

Cell and atoms, written as POSCAR:
```
InSiPt3
1.0
4.573 0.000 0.000
0.000 4.573 0.000
0.000 0.000 4.573
Si Pt In
1 3 1
direct
0.000 0.000 0.000
0.000 0.500 0.000
0.000 0.000 0.500
0.500 0.000 0.000
0.500 0.500 0.500
```

Crystal system: cubic
Density of states at the Fermi level: 3.50 states/eV per cell
Formation energy from raw total energies: 0.002 eV per atom
Calculated volume: 95.6 Å³/cell
Distance to the lowest polymorph of the same formula: 0 meV per atom

***

No. 14
## InSiPt2 (PBE-GGA)

Data for a relaxed InSiPt2 crystal.

Cell and atoms, written as POSCAR:
```
InSiPt2
1.0
3.160 0.000 0.000
0.000 5.124 0.014
0.000 3.395 4.156
In Pt Si
1 2 1
direct
0.000 0.000 0.500
0.000 0.000 0.000
0.500 0.500 0.000
0.500 0.500 0.500
```

Crystal system: monoclinic
Density of states at the Fermi level: 2.14 states/eV per cell
Formation energy from raw total energies: -0.198 eV per atom
Calculated volume: 67.2 Å³/cell

***

No. 15
## In2Si2Pt (PBE-GGA)

Data for a relaxed In2Si2Pt crystal.

Cell and atoms, written as POSCAR:
```
In2Si2Pt
1.0
-0.070 -2.008 5.945
-1.078 -5.853 -1.990
5.015 -0.847 -0.227
Si Pt In
4 2 4
direct
0.364 0.864 0.000
0.864 0.636 0.000
0.636 0.136 0.000
0.136 0.364 0.000
0.000 0.000 0.000
0.500 0.500 0.000
0.181 0.681 0.500
0.681 0.819 0.500
0.819 0.319 0.500
0.319 0.181 0.500
```

Crystal system: tetragonal
Density of states at the Fermi level: 4.20 states/eV per cell
Formation energy from raw total energies: -0.116 eV per atom
Calculated volume: 200.5 Å³/cell

***

No. 16
## InSiPt2 (PBE-GGA)

Data for a relaxed InSiPt2 crystal.

Cell and atoms, written as POSCAR:
```
InSiPt2
1.0
-4.555 1.107 -2.097
-0.348 -0.923 -5.039
1.584 -2.658 4.098
In Pt Si
1 2 1
direct
0.750 0.250 0.500
0.000 0.000 0.000
0.250 0.750 0.500
0.500 0.500 0.000
```

Crystal system: tetragonal
Density of states at the Fermi level: 0.90 states/eV per cell
Formation energy from raw total energies: -0.230 eV per atom
Calculated volume: 66.0 Å³/cell

***

No. 17
## In4SiPt (PBE-GGA)

Data for a relaxed In4SiPt crystal.

Cell and atoms, written as POSCAR:
```
In4SiPt
1.0
0.000 4.155 4.155
4.155 0.000 4.155
4.155 4.155 0.000
In Si Pt
4 1 1
direct
0.874 0.375 0.375
0.375 0.375 0.874
0.375 0.874 0.375
0.375 0.375 0.375
0.000 0.000 0.000
0.750 0.750 0.750
```

Crystal system: cubic
Density of states at the Fermi level: 3.99 states/eV per cell
Formation energy from raw total energies: 0.600 eV per atom
Calculated volume: 143.5 Å³/cell

***

No. 18
## InSi4Pt (PBE-GGA)

Data for a relaxed InSi4Pt crystal.

Cell and atoms, written as POSCAR:
```
InSi4Pt
1.0
-0.758 -5.159 -0.173
2.111 -3.071 3.652
-3.050 -2.309 3.548
In Si Pt
1 4 1
direct
0.750 0.750 0.750
0.875 0.375 0.375
0.375 0.375 0.875
0.375 0.875 0.375
0.375 0.375 0.375
0.000 0.000 0.000
```

Crystal system: cubic
Density of states at the Fermi level: 2.62 states/eV per cell
Formation energy from raw total energies: 0.478 eV per atom
Calculated volume: 100.4 Å³/cell

***

No. 19
## InSiPt2 (PBE-GGA)

Data for a relaxed InSiPt2 crystal.

Cell and atoms, written as POSCAR:
```
InSiPt2
1.0
4.360 -0.017 -0.015
2.916 3.242 -0.015
1.179 0.523 5.281
In Pt Si
1 2 1
direct
0.255 0.255 0.234
0.012 0.012 0.954
0.770 0.770 0.632
0.462 0.462 0.680
```

Crystal system: monoclinic
Density of states at the Fermi level: 1.57 states/eV per cell
Formation energy from raw total energies: -0.430 eV per atom
Calculated volume: 75.0 Å³/cell

***

No. 20
## In2SiPt2 (PBE-GGA)

Data for a relaxed In2SiPt2 crystal.

Cell and atoms, written as POSCAR:
```
In2SiPt2
1.0
-3.257 3.726 4.522
-5.266 -4.130 -0.391
1.603 -2.335 3.079
Si Pt In
2 4 4
direct
0.000 0.000 0.000
0.500 0.500 0.000
0.341 0.841 0.000
0.841 0.659 0.000
0.659 0.159 0.000
0.159 0.341 0.000
0.156 0.656 0.500
0.656 0.844 0.500
0.844 0.344 0.500
0.344 0.156 0.500
```

Crystal system: tetragonal
Density of states at the Fermi level: 5.53 states/eV per cell
Formation energy from raw total energies: -0.235 eV per atom
Calculated volume: 188.0 Å³/cell

***

No. 21
## InSiPt2 (PBE-GGA)

Data for a relaxed InSiPt2 crystal.

Cell and atoms, written as POSCAR:
```
InSiPt2
1.0
3.090 0.014 0.000
-0.015 3.090 0.000
0.000 0.000 6.863
In Pt Si
1 2 1
direct
0.500 0.500 0.750
0.000 0.000 0.044
0.000 0.000 0.456
0.500 0.500 0.250
```

Crystal system: tetragonal
Density of states at the Fermi level: 1.19 states/eV per cell
Formation energy from raw total energies: -0.368 eV per atom
Calculated volume: 65.5 Å³/cell

***

No. 22
## InSiPt2 (PBE-GGA)

Data for a relaxed InSiPt2 crystal.

Cell and atoms, written as POSCAR:
```
InSiPt2
1.0
-4.423 1.330 -0.786
-1.005 -2.410 1.577
-0.472 1.309 4.875
In Pt Si
1 2 1
direct
0.500 0.667 0.755
0.000 0.068 0.009
0.500 0.419 0.293
0.000 0.346 0.443
```

Crystal system: monoclinic
Density of states at the Fermi level: 0.92 states/eV per cell
Formation energy from raw total energies: -0.319 eV per atom
Calculated volume: 68.5 Å³/cell

***

No. 23
## InSiPt3 (PBE-GGA)

Data for a relaxed InSiPt3 crystal.

Cell and atoms, written as POSCAR:
```
InSiPt3
1.0
-1.439 -4.144 -2.263
2.948 1.060 -3.815
3.689 -2.464 2.166
Si Pt In
1 3 1
direct
0.500 0.500 0.500
0.000 0.500 0.000
0.000 0.000 0.500
0.500 0.000 0.000
0.000 0.000 0.000
```

Crystal system: cubic
Density of states at the Fermi level: 3.45 states/eV per cell
Formation energy from raw total energies: 1.213 eV per atom
Calculated volume: 120.3 Å³/cell
Distance to the lowest polymorph of the same formula: 1212 meV per atom

***

No. 24
## Sm3InSi2Pt9 (PBE-GGA)

Data for a relaxed Sm3InSi2Pt9 crystal.

Cell and atoms, written as POSCAR:
```
Sm3InSi2Pt9
1.0
5.716 0.000 0.000
-2.858 4.950 0.000
0.000 0.000 11.110
Sm In Si Pt
3 1 2 9
direct
0.333 0.667 0.602
0.000 0.000 0.000
0.667 0.333 0.398
0.000 0.000 0.500
0.333 0.667 0.157
0.667 0.333 0.843
0.836 0.164 0.694
0.836 0.672 0.694
0.328 0.164 0.694
0.672 0.836 0.306
0.164 0.328 0.306
0.164 0.836 0.306
0.500 0.000 0.000
0.000 0.500 0.000
0.500 0.500 0.000
```

Crystal system: trigonal
Density of states at the Fermi level: 6.58 states/eV per cell
Formation energy from raw total energies: -0.776 eV per atom
Calculated volume: 314.4 Å³/cell

***

No. 25
## SmInSi2Pt5 (PBE-GGA)

Data for a relaxed SmInSi2Pt5 crystal.

Cell and atoms, written as POSCAR:
```
SmInSi2Pt5
1.0
4.069 0.000 0.000
0.000 4.069 0.000
0.000 0.000 10.964
Sm In Si Pt
1 1 2 5
direct
0.000 0.000 0.500
0.000 0.000 0.000
0.500 0.500 0.286
0.500 0.500 0.714
0.000 0.500 0.176
0.500 0.000 0.176
0.000 0.500 0.824
0.500 0.000 0.824
0.500 0.500 0.500
```

Crystal system: tetragonal
Density of states at the Fermi level: 4.37 states/eV per cell
Formation energy from raw total energies: -0.707 eV per atom
Calculated volume: 181.5 Å³/cell

***

No. 26
## Sm2InSi3Pt4 (PBE-GGA)

Data for a relaxed Sm2InSi3Pt4 crystal.

Cell and atoms, written as POSCAR:
```
Sm2InSi3Pt4
1.0
4.287 0.000 0.000
0.000 4.287 0.000
0.000 0.000 10.279
Sm In Si Pt
2 1 3 4
direct
0.500 0.000 0.243
0.000 0.500 0.757
0.500 0.500 0.500
0.000 0.000 0.500
0.500 0.000 0.878
0.000 0.500 0.122
0.500 0.500 0.000
0.000 0.000 0.000
0.500 0.000 0.649
0.000 0.500 0.351
```

Crystal system: tetragonal
Density of states at the Fermi level: 4.17 states/eV per cell
Formation energy from raw total energies: -0.992 eV per atom
Calculated volume: 188.9 Å³/cell

***

Number 1: energy -6.204 eV per atom. Number 2: energy -5.306 eV per atom. Number 3: energy -5.269 eV per atom. Number 4: energy -5.287 eV per atom. Number 5: energy -5.523 eV per atom. Number 6: energy -4.557 eV per atom. Number 7: energy -5.059 eV per atom. Number 8: energy -5.354 eV per atom. Number 9: energy -5.447 eV per atom. Number 10: energy -5.474 eV per atom. Number 11: energy -5.507 eV per atom. Number 12: energy -5.588 eV per atom. Number 13: energy -5.255 eV per atom. Number 14: energy -5.259 eV per atom. Number 15: energy -4.588 eV per atom. Number 16: energy -5.291 eV per atom. Number 17: energy -3.136 eV per atom. Number 18: energy -4.601 eV per atom. Number 19: energy -5.490 eV per atom. Number 20: energy -4.831 eV per atom. Number 21: energy -5.429 eV per atom. Number 22: energy -5.380 eV per atom. Number 23: energy -4.043 eV per atom. Number 24: energy -6.249 eV per atom. Number 25: energy -6.097 eV per atom. Number 26: energy -6.253 eV per atom.